ZrHgSe2, relaxed, DFT PBE; calculated volume = 30.7 A^3/atom; space-group type = P3m1, No. 156; total energy = -4.943 eV/atom; D(E_F) = 0.00 states/eV/cell; E_form (uncorrected) = -0.99 eV per atom
1.0
3.278 -1.893 0.000
0.000 3.785 0.000
0.000 0.000 9.900
Se Hg Zr
2 1 1
Direct
0.333 0.667 0.833
0.667 0.333 0.157
0.333 0.667 0.470
0.000 0.000 0.995